# BaPrCrO4

BaPrCrO4 after structural relaxation (GGA+U, the Alexandria database).

Summary:
Its crystal system is tetragonal. The raw total energy comes out at -7.503 eV/atom. The value obtained for the calculated volume is 14.49 Å³/atom. The calculation puts the total magnetic moment at 3.00 μB/cell.

abc: 3.978 3.978 6.999
angles: 106.51 106.51 90.00
Sites, in units of the cell vectors:
1 Cr 0.001 0.001 0.001
2 O 0.487 0.987 0.974
3 O 0.173 0.173 0.346
4 O 0.987 0.487 0.974
5 O 0.843 0.843 0.686
6 Ba 0.646 0.646 0.292
7 Pr 0.363 0.363 0.727